No. 1
# GGA-PBE ScNi3Ag, relaxed
# - calculated formation energy (eV per formula unit) = 4.63
# - symmetry = Pm-3m, No. 221
data_ScNi3Ag
_chemical_formula_sum 'Sc1 Ni3 Ag1'
_space_group_name_H-M_alt 'P 1'
_space_group_IT_number 1
_cell_length_a 4.576
_cell_length_b 4.576
_cell_length_c 4.576
_cell_angle_alpha 90.00
_cell_angle_beta 90.00
_cell_angle_gamma 90.00
loop_
_space_group_symop_operation_xyz
'x,y,z'
loop_
_atom_site_label
_atom_site_type_symbol
_atom_site_fract_x
_atom_site_fract_y
_atom_site_fract_z
_atom_site_occupancy
Ni1 Ni 0.000 0.000 0.500 1
Ni2 Ni 0.500 0.000 0.000 1
Ni3 Ni 0.000 0.500 0.000 1
Ag1 Ag 0.000 0.000 0.000 1
Sc1 Sc 0.500 0.500 0.500 1

No. 2
# GGA-PBE LaSm14In, relaxed
# - calculated formation energy (eV per formula unit) = -0.47
# - symmetry = Amm2, No. 38
data_LaSm14In
_chemical_formula_sum 'La1 Sm14 In1'
_space_group_name_H-M_alt 'P 1'
_space_group_IT_number 1
_cell_length_a 7.191
_cell_length_b 7.191
_cell_length_c 10.208
_cell_angle_alpha 90.00
_cell_angle_beta 90.00
_cell_angle_gamma 90.00
loop_
_space_group_symop_operation_xyz
'x,y,z'
loop_
_atom_site_label
_atom_site_type_symbol
_atom_site_fract_x
_atom_site_fract_y
_atom_site_fract_z
_atom_site_occupancy
Sm1 Sm 0.875 0.625 0.500 1
Sm2 Sm 0.375 0.126 0.000 1
Sm3 Sm 0.622 0.872 0.753 1
Sm4 Sm 0.622 0.378 0.753 1
Sm5 Sm 0.128 0.378 0.753 1
Sm6 Sm 0.874 0.625 0.000 1
Sm7 Sm 0.128 0.872 0.247 1
Sm8 Sm 0.375 0.125 0.500 1
Sm9 Sm 0.128 0.872 0.753 1
Sm10 Sm 0.128 0.378 0.247 1
Sm11 Sm 0.622 0.872 0.247 1
Sm12 Sm 0.375 0.625 0.500 1
Sm13 Sm 0.875 0.125 0.500 1
Sm14 Sm 0.622 0.378 0.247 1
In1 In 0.375 0.625 0.000 1
La1 La 0.875 0.125 0.000 1

No. 3
# GGA-PBE Pm5ThAl3, relaxed
# - calculated formation energy (eV per formula unit) = -1.88
# - symmetry = P6_3/mcm, No. 193
data_Pm5ThAl3
_chemical_formula_sum 'Pm10 Th2 Al6'
_space_group_name_H-M_alt 'P 1'
_space_group_IT_number 1
_cell_length_a 6.788
_cell_length_b 9.295
_cell_length_c 9.295
_cell_angle_alpha 120.00
_cell_angle_beta 90.00
_cell_angle_gamma 90.00
loop_
_space_group_symop_operation_xyz
'x,y,z'
loop_
_atom_site_label
_atom_site_type_symbol
_atom_site_fract_x
_atom_site_fract_y
_atom_site_fract_z
_atom_site_occupancy
Pm1 Pm 0.250 0.335 0.335 1
Pm2 Pm 0.500 0.667 0.333 1
Pm3 Pm 0.250 0.000 0.665 1
Pm4 Pm 0.750 0.665 0.665 1
Pm5 Pm 0.750 0.000 0.335 1
Pm6 Pm 0.000 0.333 0.667 1
Pm7 Pm 0.250 0.665 0.000 1
Pm8 Pm 0.000 0.667 0.333 1
Pm9 Pm 0.500 0.333 0.667 1
Pm10 Pm 0.750 0.335 0.000 1
Al1 Al 0.250 0.000 0.329 1
Al2 Al 0.250 0.671 0.671 1
Al3 Al 0.250 0.329 0.000 1
Al4 Al 0.750 0.671 0.000 1
Al5 Al 0.750 0.329 0.329 1
Al6 Al 0.750 0.000 0.671 1
Th1 Th 0.500 0.000 0.000 1
Th2 Th 0.000 0.000 0.000 1

No. 4
# GGA-PBE ScGaTc2H, relaxed
# - symmetry = P4/mmm, No. 123
data_ScGaTc2H
_chemical_formula_sum 'Sc1 Ga1 Tc2 H1'
_space_group_name_H-M_alt 'P 1'
_space_group_IT_number 1
_cell_length_a 3.992
_cell_length_b 3.992
_cell_length_c 4.107
_cell_angle_alpha 90.00
_cell_angle_beta 90.00
_cell_angle_gamma 90.00
loop_
_space_group_symop_operation_xyz
'x,y,z'
loop_
_atom_site_label
_atom_site_type_symbol
_atom_site_fract_x
_atom_site_fract_y
_atom_site_fract_z
_atom_site_occupancy
Tc1 Tc 0.000 0.500 0.000 1
Tc2 Tc 0.500 0.000 0.000 1
Ga1 Ga 0.500 0.500 0.500 1
Sc1 Sc 0.000 0.000 0.500 1
H1 H 0.000 0.000 0.000 1

| no. | final energy (eV/atom) | spin magnetization (μB/f.u.) |
| --- | --- | --- |
| 1 | -4.38 | 0.00 |
| 2 | -4.64 | 0.00 |
| 3 | -4.92 | 0.00 |
| 4 | -6.87 | 0.71 |